The following is a DFT calculation (PBE-GGA) of a relaxed structure of Er2TmZn3InGa2.

```
Er2TmZn3InGa2
1.0
4.366 0.000 0.000
0.000 6.038 3.491
0.000 -6.038 3.491
Er Tm Zn In Ga
2 1 3 1 2
direct
0.000 0.222 0.778 Er
0.000 0.778 0.222 Er
0.000 0.667 0.667 Tm
0.500 0.222 0.476 Zn
0.500 0.476 0.222 Zn
0.500 0.968 0.968 Zn
0.000 0.223 0.223 In
0.500 0.556 0.888 Ga
0.500 0.888 0.556 Ga
```

## Properties
Calculated volume in Å³ per cell: 184
Uncorrected energy in eV per cell: -30.74

The following is a DFT calculation (PBE-GGA) of a relaxed structure of ErTm2Zn3InGa2.

```
ErTm2Zn3InGa2
1.0
4.362 0.000 0.000
0.000 6.038 3.481
0.000 -6.038 3.481
Er Tm Zn In Ga
1 2 3 1 2
direct
0.000 0.000 0.000 Er
0.000 0.444 0.889 Tm
0.000 0.889 0.444 Tm
0.500 0.190 0.444 Zn
0.500 0.444 0.190 Zn
0.500 0.699 0.699 Zn
0.000 0.445 0.445 In
0.500 0.111 0.777 Ga
0.500 0.777 0.111 Ga
```

## Properties
Calculated volume in Å³ per cell: 183
Uncorrected energy in eV per cell: -30.63